# 1
BeMo2Ir: optimized geometry, PBE.

Lattice parameters (Å, degrees): 8.756 8.756 8.756 18.17 18.17 18.17
Fractional positions:
1 Be 0.250 0.250 0.250
2 Mo 0.997 0.997 0.997
3 Mo 0.503 0.503 0.503
4 Ir 0.750 0.750 0.750

Output
Space-group type: R-3m
E_tot: -8.427 eV/atom
Formation energy: 0.54 eV/f.u.


# 2
BeMo2Ir: optimized geometry, PBE.

Lattice parameters (Å, degrees): 2.730 3.961 5.160 90.00 90.00 90.00
Fractional positions:
1 Be 0.500 0.500 0.250
2 Mo 0.000 0.000 0.013
3 Mo 0.000 0.000 0.487
4 Ir 0.500 0.500 0.750

Output
Space-group type: Pmmm
E_tot: -8.698 eV/atom
Formation energy: -0.54 eV/f.u.


# 3
BeMo2Ir: optimized geometry, PBE.

Lattice parameters (Å, degrees): 2.738 2.738 7.292 90.00 90.00 90.03
Fractional positions:
1 Be 0.500 0.500 0.250
2 Mo 0.000 0.000 0.022
3 Mo 0.000 0.000 0.478
4 Ir 0.500 0.500 0.750

Output
Space-group type: P4/mmm
E_tot: -8.686 eV/atom
Formation energy: -0.49 eV/f.u.


# 4
Be2MoIr: optimized geometry, PBE.

Lattice parameters (Å, degrees): 4.810 4.810 4.040 64.96 64.96 34.06
Fractional positions:
1 Be 0.020 0.020 0.979
2 Be 0.738 0.738 0.763
3 Mo 0.258 0.258 0.242
4 Ir 0.483 0.483 0.516

Output
Space-group type: Cm
Polymorph energy (0 for the lowest one): 118 meV/atom
E_tot: -6.968 eV/atom
Formation energy: -0.73 eV/f.u.


# 5
Be2MoIr: optimized geometry, PBE.

Lattice parameters (Å, degrees): 4.123 4.123 4.123 60.00 60.00 60.00
Fractional positions:
1 Be 0.000 0.000 0.000
2 Be 0.750 0.750 0.750
3 Mo 0.250 0.250 0.250
4 Ir 0.500 0.500 0.500

Output
Space-group type: F-43m
Polymorph energy (0 for the lowest one): 217 meV/atom
E_tot: -6.869 eV/atom
Formation energy: -0.33 eV/f.u.


# 6
Be4MoIr5: optimized geometry, PBE.

Lattice parameters (Å, degrees): 2.808 2.808 15.042 90.00 90.00 90.00
Fractional positions:
1 Be 0.000 0.000 0.221
2 Be 0.000 0.000 0.406
3 Be 0.000 0.000 0.594
4 Be 0.000 0.000 0.779
5 Mo 0.000 0.000 0.000
6 Ir 0.500 0.500 0.125
7 Ir 0.500 0.500 0.313
8 Ir 0.500 0.500 0.500
9 Ir 0.500 0.500 0.687
10 Ir 0.500 0.500 0.875

Output
Space-group type: P4/mmm
E_tot: -7.523 eV/atom
Formation energy: -5.18 eV/f.u.


# 7
BeMo2Ir: optimized geometry, PBE.

Lattice parameters (Å, degrees): 4.092 3.699 3.699 90.00 90.00 90.00
Fractional positions:
1 Be 0.500 0.500 0.000
2 Mo 0.000 0.000 0.000
3 Mo 0.000 0.500 0.500
4 Ir 0.500 0.000 0.500

Output
Space-group type: P4/mmm
E_tot: -8.578 eV/atom
Formation energy: -0.06 eV/f.u.


# 8
BeMo4Ir: optimized geometry, PBE.

Lattice parameters (Å, degrees): 5.128 5.128 5.128 60.00 60.00 60.00
Fractional positions:
1 Be 0.750 0.750 0.750
2 Mo 0.870 0.377 0.377
3 Mo 0.377 0.377 0.870
4 Mo 0.377 0.870 0.377
5 Mo 0.377 0.377 0.377
6 Ir 0.000 0.000 0.000

Output
Space-group type: F-43m
E_tot: -8.832 eV/atom
Formation energy: 2.92 eV/f.u.